# 1
{
  "formula": "AlCu2Au",
  "functional": "PBE-GGA",
  "state": "relaxed",
  "lattice_angstrom": [[1.4351, 0.8285, 8.2410], [-1.4351, 0.8285, 8.2410], [0.0000, -1.6571, 8.2410]],
  "species": ["Al", "Cu", "Cu", "Au"],
  "frac_coords": [[0.0000, 0.0000, 0.0000], [0.2548, 0.2548, 0.2548], [0.5102, 0.5102, 0.5102], [0.7544, 0.7544, 0.7544]],
  "ef_mev_per_atom": -19,
  "final_energy_ev_per_atom": -3.82,
  "sg": "R3m (160)"
}

***

# 2
{
  "formula": "CsLiReN2",
  "functional": "PBE-GGA",
  "state": "relaxed",
  "lattice_angstrom": [[2.7238, -6.5813, 0.0000], [2.7238, 6.5813, 0.0000], [0.0000, 0.0000, 5.2365]],
  "species": ["Cs", "Cs", "Li", "Li", "Re", "Re", "N", "N", "N", "N"],
  "frac_coords": [[0.2500, 0.7500, 0.7563], [0.7500, 0.2500, 0.2437], [0.0000, 0.0000, 0.0000], [0.5000, 0.5000, 0.0000], [0.2500, 0.2500, 0.5000], [0.7500, 0.7500, 0.5000], [0.0817, 0.9183, 0.3171], [0.4183, 0.5817, 0.3171], [0.5817, 0.4183, 0.6829], [0.9183, 0.0817, 0.6829]],
  "final_energy_ev_per_atom": -6.56,
  "sg": "Cmme (67)"
}

***

# 3
{
  "formula": "Hf5Fe4Os",
  "functional": "PBE-GGA",
  "state": "relaxed",
  "lattice_angstrom": [[3.1673, 0.0000, 0.0000], [0.0000, 3.1673, 0.0000], [0.0000, 0.0000, 15.7785]],
  "species": ["Hf", "Hf", "Hf", "Hf", "Hf", "Fe", "Fe", "Fe", "Fe", "Os"],
  "frac_coords": [[0.0000, 0.0000, 0.0000], [0.0000, 0.0000, 0.1973], [0.0000, 0.0000, 0.3946], [0.0000, 0.0000, 0.6054], [0.0000, 0.0000, 0.8027], [0.5000, 0.5000, 0.0986], [0.5000, 0.5000, 0.2959], [0.5000, 0.5000, 0.7041], [0.5000, 0.5000, 0.9014], [0.5000, 0.5000, 0.5000]],
  "ef_mev_per_atom": -394,
  "final_energy_ev_per_atom": -9.88,
  "sg": "P4/mmm (123)"
}